1.
This record from Alexandria via LeMat-Bulk describes TlSn2S4 after structural relaxation. The functional is PBE.

Calculated values
Total magnetization = 0.000 μB/f.u.
Crystal system = orthorhombic
Energy above the lowest structure with this stoichiometry = 7 meV per atom
E_tot = -4.175 eV per atom
E_form (uncorrected) = -2.35 eV per formula unit

Unit cell a=15.521 b=8.860 c=6.390 alpha=90.00 beta=90.00 gamma=90.00
Space group Pnma (No. 62)
One atom of each set of equivalent atoms:
1 Tl 0.238 0.250 0.007 (multiplicity 4)
2 Sn 0.000 0.000 0.500 (multiplicity 4)
3 Sn 0.070 0.750 0.097 (multiplicity 4)
4 S 0.065 0.750 0.719 (multiplicity 4)
5 S 0.067 0.250 0.705 (multiplicity 4)
6 S 0.137 0.527 0.237 (multiplicity 8)

=====

2.
This record from Alexandria via LeMat-Bulk describes TlSn2S2 after structural relaxation. The functional is PBE.

Calculated values
Total magnetization = 0.000 μB/f.u.
Crystal system = tetragonal
Energy above the lowest structure with this stoichiometry = 78 meV per atom
E_tot = -3.863 eV per atom
E_form (uncorrected) = -0.69 eV per formula unit

Unit cell a=8.442 b=8.442 c=3.832 alpha=90.00 beta=90.00 gamma=90.00
Space group P4/mbm (No. 127)
One atom of each set of equivalent atoms:
1 Tl 0.000 0.000 0.000 (multiplicity 2)
2 Sn 0.147 0.353 0.000 (multiplicity 4)
3 S 0.203 0.703 0.500 (multiplicity 4)

=====

3.
This record from Alexandria via LeMat-Bulk describes Tl3SnS3 after structural relaxation. The functional is PBE.

Calculated values
Total magnetization = 0.000 μB/f.u.
Crystal system = monoclinic
Energy above the lowest structure with this stoichiometry = 19 meV per atom
E_tot = -3.636 eV per atom
E_form (uncorrected) = -1.97 eV per formula unit

Unit cell a=8.168 b=12.625 c=8.589 alpha=90.00 beta=101.51 gamma=90.00
Space group C2/m (No. 12)
One atom of each set of equivalent atoms:
1 Tl 0.000 0.177 0.000 (multiplicity 4)
2 Tl 0.000 0.262 0.500 (multiplicity 4)
3 Tl 0.136 0.500 0.883 (multiplicity 4)
4 Sn 0.184 0.000 0.652 (multiplicity 4)
5 S 0.128 0.000 0.340 (multiplicity 4)
6 S 0.192 0.333 0.215 (multiplicity 8)

=====

4.
This record from Alexandria via LeMat-Bulk describes Tl5Sn2S6 after structural relaxation. The functional is PBE.

Calculated values
Total magnetization = 0.000 μB/f.u.
Crystal system = monoclinic
E_tot = -3.767 eV per atom
E_form (uncorrected) = -4.37 eV per formula unit

Unit cell a=14.009 b=6.364 c=18.692 alpha=90.00 beta=104.91 gamma=90.00
Space group C2/c (No. 15)
One atom of each set of equivalent atoms:
1 Tl 0.000 0.098 0.250 (multiplicity 4)
2 Tl 0.041 0.251 0.469 (multiplicity 8)
3 Tl 0.159 0.419 0.698 (multiplicity 8)
4 Sn 0.233 0.381 0.917 (multiplicity 8)
5 S 0.071 0.499 0.844 (multiplicity 8)
6 S 0.140 0.076 0.151 (multiplicity 8)
7 S 0.227 0.007 0.449 (multiplicity 8)

=====

5.
This record from Alexandria via LeMat-Bulk describes Tl5Sn3S12 after structural relaxation. The functional is PBE.

Calculated values
Total magnetization = 0.000 μB/f.u.
Crystal system = cubic
E_tot = -3.665 eV per atom
E_form (uncorrected) = 0.06 eV per formula unit

Unit cell a=16.099 b=16.099 c=16.099 alpha=90.00 beta=90.00 gamma=90.00
Space group Ia-3d (No. 230)
One atom of each set of equivalent atoms:
1 Tl 0.000 0.000 0.000 (multiplicity 16)
2 Tl 0.000 0.250 0.375 (multiplicity 24)
3 Sn 0.000 0.250 0.125 (multiplicity 24)
4 S 0.017 0.066 0.655 (multiplicity 96)

=====

6.
This record from Alexandria via LeMat-Bulk describes TlSn3S6 after structural relaxation. The functional is PBE.

Calculated values
Total magnetization = 0.000 μB/f.u.
Crystal system = monoclinic
Energy above the lowest structure with this stoichiometry = 14 meV per atom
E_tot = -4.242 eV per atom
E_form (uncorrected) = -3.28 eV per formula unit

Unit cell a=11.082 b=3.722 c=12.202 alpha=90.00 beta=102.27 gamma=90.00
Space group P2_1/m (No. 11)
One atom of each set of equivalent atoms:
1 Tl 0.046 0.250 0.185 (multiplicity 2)
2 Sn 0.144 0.250 0.573 (multiplicity 2)
3 Sn 0.357 0.750 0.047 (multiplicity 2)
4 Sn 0.464 0.250 0.345 (multiplicity 2)
5 S 0.088 0.750 0.416 (multiplicity 2)
6 S 0.194 0.750 0.711 (multiplicity 2)
7 S 0.207 0.250 0.972 (multiplicity 2)
8 S 0.304 0.750 0.246 (multiplicity 2)
9 S 0.377 0.250 0.536 (multiplicity 2)
10 S 0.476 0.750 0.874 (multiplicity 2)

=====

7.
This record from Alexandria via LeMat-Bulk describes Tl2SnS2 after structural relaxation. The functional is PBE.

Calculated values
Total magnetization = 0.000 μB/f.u.
Crystal system = monoclinic
Energy above the lowest structure with this stoichiometry = 0 meV per atom
E_tot = -3.765 eV per atom
E_form (uncorrected) = -1.84 eV per formula unit

Unit cell a=10.646 b=7.719 c=7.748 alpha=90.00 beta=111.29 gamma=90.00
Space group P2_1/c (No. 14)
One atom of each set of equivalent atoms:
1 Tl 0.043 0.229 0.079 (multiplicity 4)
2 Tl 0.306 0.584 0.961 (multiplicity 4)
3 Sn 0.339 0.109 0.980 (multiplicity 4)
4 S 0.151 0.588 0.238 (multiplicity 4)
5 S 0.487 0.635 0.685 (multiplicity 4)

=====

8.
This record from Alexandria via LeMat-Bulk describes TlSn3S4 after structural relaxation. The functional is PBE.

Calculated values
Total magnetization = 0.000 μB/f.u.
Crystal system = orthorhombic
E_tot = -4.234 eV per atom
E_form (uncorrected) = -2.99 eV per formula unit

Unit cell a=4.095 b=11.708 c=8.355 alpha=90.00 beta=90.00 gamma=90.00
Space group Amm2 (No. 38)
One atom of each set of equivalent atoms:
1 Tl 0.000 0.000 0.000 (multiplicity 2)
2 Sn 0.000 0.000 0.500 (multiplicity 2)
3 Sn 0.500 0.250 0.249 (multiplicity 4)
4 S 0.000 0.240 0.502 (multiplicity 4)
5 S 0.500 0.000 0.271 (multiplicity 2)
6 S 0.500 0.000 0.729 (multiplicity 2)

=====

9.
This record from Alexandria via LeMat-Bulk describes Tl2Sn2S5 after structural relaxation. The functional is PBE.

Calculated values
Total magnetization = 0.000 μB/f.u.
Crystal system = monoclinic
Energy above the lowest structure with this stoichiometry = 0 meV per atom
E_tot = -4.102 eV per atom
E_form (uncorrected) = -3.55 eV per formula unit

Unit cell a=11.326 b=7.939 c=11.604 alpha=90.00 beta=108.27 gamma=90.00
Space group C2/c (No. 15)
One atom of each set of equivalent atoms:
1 Tl 0.219 0.179 0.317 (multiplicity 8)
2 Sn 0.094 0.346 0.942 (multiplicity 8)
3 S 0.000 0.183 0.750 (multiplicity 4)
4 S 0.012 0.363 0.115 (multiplicity 8)
5 S 0.196 0.054 0.038 (multiplicity 8)

=====

10.
This record from Alexandria via LeMat-Bulk describes Tm2Tl3SnS6 after structural relaxation. The functional is PBE.

Calculated values
Total magnetization = 0.000 μB/f.u.
Crystal system = monoclinic
E_tot = -4.836 eV per atom
E_form (uncorrected) = -13.22 eV per formula unit

Unit cell a=6.914 b=11.988 c=7.824 alpha=90.00 beta=107.02 gamma=90.00
Space group C2/m (No. 12)
One atom of each set of equivalent atoms:
1 Tm 0.000 0.167 0.000 (multiplicity 4)
2 Tl 0.000 0.000 0.500 (multiplicity 2)
3 Tl 0.000 0.331 0.500 (multiplicity 4)
4 Sn 0.000 0.500 0.000 (multiplicity 2)
5 S 0.230 0.000 0.197 (multiplicity 4)
6 S 0.233 0.332 0.196 (multiplicity 8)

=====

11.
This record from Alexandria via LeMat-Bulk describes UTl2SnS5 after structural relaxation. The functional is PBE.

Calculated values
Total magnetization = 0.103 μB/f.u.
Crystal system = orthorhombic
E_tot = -5.189 eV per atom
E_form (uncorrected) = -6.04 eV per formula unit

Unit cell a=4.104 b=17.752 c=14.723 alpha=90.00 beta=90.00 gamma=90.00
Space group Cmc2_1 (No. 36)
One atom of each set of equivalent atoms:
1 U 0.000 0.226 0.000 (multiplicity 4)
2 Tl 0.000 0.076 0.632 (multiplicity 4)
3 Tl 0.000 0.128 0.270 (multiplicity 4)
4 Sn 0.000 0.459 0.418 (multiplicity 4)
5 S 0.000 0.089 0.040 (multiplicity 4)
6 S 0.000 0.255 0.608 (multiplicity 4)
7 S 0.000 0.308 0.389 (multiplicity 4)
8 S 0.000 0.357 0.953 (multiplicity 4)
9 S 0.000 0.499 0.252 (multiplicity 4)

=====

12.
This record from Alexandria via LeMat-Bulk describes U2Tl2SnS6 after structural relaxation. The functional is PBE.

Calculated values
Total magnetization = 4.000 μB/f.u.
Crystal system = monoclinic
E_tot = -6.061 eV per atom
E_form (uncorrected) = -10.59 eV per formula unit

Unit cell a=7.086 b=12.266 c=7.755 alpha=90.00 beta=106.31 gamma=90.00
Space group C2/m (No. 12)
One atom of each set of equivalent atoms:
1 U 0.000 0.166 0.000 (multiplicity 4)
2 Tl 0.000 0.340 0.500 (multiplicity 4)
3 Sn 0.000 0.500 0.000 (multiplicity 2)
4 S 0.206 0.000 0.193 (multiplicity 4)
5 S 0.237 0.321 0.196 (multiplicity 8)

=====

13.
This record from Alexandria via LeMat-Bulk describes UTl3Sn2S6 after structural relaxation. The functional is PBE.

Calculated values
Total magnetization = 1.003 μB/f.u.
Crystal system = monoclinic
E_tot = -4.973 eV per atom
E_form (uncorrected) = -8.52 eV per formula unit

Unit cell a=7.254 b=12.466 c=7.675 alpha=90.00 beta=107.92 gamma=90.00
Space group C2/m (No. 12)
One atom of each set of equivalent atoms:
1 U 0.000 0.000 0.000 (multiplicity 2)
2 Tl 0.000 0.169 0.500 (multiplicity 4)
3 Tl 0.000 0.500 0.500 (multiplicity 2)
4 Sn 0.000 0.333 0.000 (multiplicity 4)
5 S 0.218 0.153 0.197 (multiplicity 8)
6 S 0.235 0.000 0.794 (multiplicity 4)

=====

14.
This record from Alexandria via LeMat-Bulk describes UTlSn2S5 after structural relaxation. The functional is PBE.

Calculated values
Total magnetization = 1.002 μB/f.u.
Crystal system = orthorhombic
E_tot = -5.320 eV per atom
E_form (uncorrected) = -5.58 eV per formula unit

Unit cell a=5.118 b=7.249 c=13.881 alpha=90.00 beta=90.00 gamma=90.00
Space group Immm (No. 71)
One atom of each set of equivalent atoms:
1 U 0.000 0.000 0.000 (multiplicity 2)
2 Tl 0.000 0.000 0.500 (multiplicity 2)
3 Sn 0.000 0.500 0.283 (multiplicity 4)
4 S 0.000 0.243 0.138 (multiplicity 8)
5 S 0.000 0.500 0.500 (multiplicity 2)

=====

15.
This record from Alexandria via LeMat-Bulk describes UTl2Sn2S6 after structural relaxation. The functional is PBE.

Calculated values
Total magnetization = 0.000 μB/f.u.
Crystal system = monoclinic
E_tot = -5.164 eV per atom
E_form (uncorrected) = -8.02 eV per formula unit

Unit cell a=7.241 b=12.201 c=7.728 alpha=90.00 beta=108.18 gamma=90.00
Space group C2/m (No. 12)
One atom of each set of equivalent atoms:
1 U 0.000 0.000 0.000 (multiplicity 2)
2 Tl 0.000 0.171 0.500 (multiplicity 4)
3 Sn 0.000 0.328 0.000 (multiplicity 4)
4 S 0.215 0.154 0.192 (multiplicity 8)
5 S 0.221 0.000 0.799 (multiplicity 4)